# 1
The following is a GGA-PBE calculation of a relaxed structure of Tb3TlOs, from Alexandria via LeMat-Bulk.

**Energy of formation**: -197 meV per atom
**V**: 271.7 Å³ per cell

abc: 5.268 7.130 8.556
angles: 112.70 90.00 111.68
Fractional positions:
Tb  0.933  0.865  0.772
Tb  0.067  0.135  0.228
Tb  0.593  0.187  0.867
Tb  0.407  0.813  0.133
Tb  0.773  0.547  0.266
Tb  0.227  0.453  0.734
Tl  0.372  0.744  0.502
Tl  0.628  0.256  0.498
Os  0.177  0.353  0.020
Os  0.823  0.647  0.980

# 2
The following is a GGA-PBE calculation of a relaxed structure of NdEr2Ga, from Alexandria via LeMat-Bulk.

**Energy of formation**: -249 meV per atom
**V**: 230.8 Å³ per cell

abc: 4.307 6.429 8.845
angles: 90.00 90.00 109.55
Fractional positions:
Nd  0.941  0.881  0.250
Nd  0.059  0.119  0.750
Er  0.355  0.710  0.555
Er  0.645  0.290  0.445
Er  0.355  0.710  0.945
Er  0.645  0.290  0.055
Ga  0.753  0.506  0.750
Ga  0.247  0.494  0.250

# 3
The following is a GGA-PBE calculation of a relaxed structure of U2As3, from Alexandria via LeMat-Bulk.

**Energy of formation**: -403 meV per atom
**V**: 209.0 Å³ per cell

abc: 5.691 5.126 8.612
angles: 90.00 90.00 123.72
Fractional positions:
U  0.130  0.259  0.559
U  0.870  0.741  0.441
U  0.370  0.741  0.059
U  0.630  0.259  0.941
As  0.500  0.000  0.500
As  0.000  0.000  0.000
As  0.628  0.755  0.750
As  0.872  0.245  0.250
As  0.128  0.755  0.750
As  0.372  0.245  0.250

# 4
The following is a GGA-PBE calculation of a relaxed structure of Ce2Ga9Rh3, from Alexandria via LeMat-Bulk.

**Energy of formation**: -700 meV per atom
**V**: 483.1 Å³ per cell

abc: 7.669 7.669 10.478
angles: 89.96 111.41 120.14
Fractional positions:
Ce  0.334  0.249  0.750
Ce  0.666  0.751  0.250
Ce  0.000  0.585  0.750
Ce  0.000  0.415  0.250
Ga  0.460  0.919  0.748
Ga  0.540  0.081  0.252
Ga  0.671  0.712  0.752
Ga  0.329  0.288  0.248
Ga  0.448  0.641  0.921
Ga  0.552  0.359  0.079
Ga  0.220  0.527  0.579
Ga  0.780  0.473  0.421
Ga  0.876  0.126  0.750
Ga  0.124  0.874  0.250
Ga  0.125  0.979  0.937
Ga  0.875  0.021  0.063
Ga  0.543  0.189  0.563
Ga  0.457  0.811  0.437
Ga  0.885  0.860  0.579
Ga  0.115  0.140  0.421
Ga  0.781  0.306  0.921
Ga  0.219  0.694  0.079
Rh  0.500  0.000  0.000
Rh  0.500  0.500  0.500
Rh  0.840  0.171  0.500
Rh  0.160  0.829  0.500
Rh  0.171  0.340  0.000
Rh  0.829  0.660  0.000

# 5
The following is a GGA-PBE calculation of a relaxed structure of PmPrHg5, from Alexandria via LeMat-Bulk.

**Energy of formation**: -298 meV per atom
**V**: 196.2 Å³ per cell

abc: 4.779 4.779 8.591
angles: 90.00 90.00 90.00
Fractional positions:
Pm  0.000  0.000  0.500
Pr  0.500  0.500  0.000
Hg  0.000  0.500  0.755
Hg  0.000  0.500  0.245
Hg  0.500  0.000  0.755
Hg  0.500  0.000  0.245
Hg  0.500  0.500  0.500

# 6
The following is a GGA-PBE calculation of a relaxed structure of AcSF, from Alexandria via LeMat-Bulk.

**V**: 129.8 Å³ per cell
**Total DFT energy (no corrections)**: -6.50 eV per atom

abc: 4.336 4.336 7.974
angles: 90.00 90.00 120.00
Fractional positions:
Ac  0.333  0.666  0.250
Ac  0.667  0.334  0.750
S  0.000  0.000  0.000
S  0.000  0.000  0.500
F  0.667  0.333  0.250
F  0.333  0.667  0.750

# 7
The following is a GGA-PBE calculation of a relaxed structure of Mg4Sc5Ga, from Alexandria via LeMat-Bulk.

**Energy of formation**: -160 meV per atom
**V**: 222.4 Å³ per cell

abc: 3.528 3.528 17.870
angles: 90.00 90.00 90.00
Fractional positions:
Mg  0.000  0.000  0.192
Mg  0.000  0.000  0.396
Mg  0.000  0.000  0.604
Mg  0.000  0.000  0.808
Sc  0.500  0.500  0.089
Sc  0.500  0.500  0.293
Sc  0.500  0.500  0.500
Sc  0.500  0.500  0.707
Sc  0.500  0.500  0.911
Ga  0.000  0.000  0.000

# 8
The following is a GGA-PBE calculation of a relaxed structure of Pr12Sb3N5, from Alexandria via LeMat-Bulk.

**V**: 2186.1 Å³ per cell
**Total DFT energy (no corrections)**: -6.48 eV per atom

abc: 14.161 14.161 14.161
angles: 109.47 109.47 109.47
Fractional positions:
Sb  0.750  0.375  0.125
Sb  0.875  0.750  0.125
Sb  0.375  0.750  0.625
Sb  0.250  0.125  0.375
Sb  0.875  0.125  0.250
Sb  0.375  0.625  0.250
Sb  0.625  0.375  0.750
Sb  0.125  0.875  0.750
Sb  0.750  0.875  0.625
Sb  0.625  0.250  0.375
Sb  0.125  0.250  0.875
Sb  0.250  0.625  0.875
N  0.125  0.375  0.250
N  0.000  0.500  0.000
N  0.000  0.000  0.000
N  0.375  0.250  0.125
N  0.500  0.000  0.500
N  0.500  0.500  0.000
N  0.125  0.750  0.375
N  0.750  0.125  0.875
N  0.750  0.625  0.375
N  0.375  0.125  0.750
N  0.625  0.875  0.250
N  0.500  0.500  0.500
N  0.500  0.000  0.000
N  0.000  0.000  0.500
N  0.250  0.375  0.625
N  0.250  0.875  0.125
N  0.000  0.500  0.500
N  0.875  0.250  0.625
N  0.625  0.750  0.875
N  0.875  0.625  0.750
Pr  0.698  0.110  0.013
Pr  0.315  0.513  0.403
Pr  0.987  0.390  0.302
Pr  0.513  0.198  0.110
Pr  0.588  0.698  0.685
Pr  0.987  0.597  0.185
Pr  0.315  0.802  0.412
Pr  0.097  0.912  0.110
Pr  0.597  0.987  0.685
Pr  0.698  0.588  0.185
Pr  0.802  0.487  0.390
Pr  0.815  0.903  0.013
Pr  0.110  0.698  0.513
Pr  0.390  0.403  0.088
Pr  0.088  0.903  0.390
Pr  0.412  0.110  0.597
Pr  0.088  0.185  0.198
Pr  0.487  0.685  0.097
Pr  0.815  0.912  0.302
Pr  0.110  0.412  0.097
Pr  0.390  0.987  0.802
Pr  0.597  0.610  0.412
Pr  0.903  0.815  0.513
Pr  0.802  0.315  0.912
Pr  0.403  0.390  0.588
Pr  0.097  0.185  0.487
Pr  0.198  0.685  0.088
Pr  0.185  0.088  0.698
Pr  0.610  0.013  0.198
Pr  0.890  0.588  0.903
Pr  0.513  0.315  0.903
Pr  0.588  0.890  0.403
Pr  0.912  0.815  0.802
Pr  0.912  0.097  0.610
Pr  0.890  0.302  0.487
Pr  0.185  0.097  0.987
Pr  0.610  0.597  0.912
Pr  0.403  0.013  0.315
Pr  0.302  0.412  0.815
Pr  0.198  0.513  0.610
Pr  0.903  0.088  0.890
Pr  0.685  0.198  0.588
Pr  0.487  0.802  0.890
Pr  0.013  0.403  0.815
Pr  0.412  0.302  0.315
Pr  0.013  0.610  0.698
Pr  0.685  0.487  0.597
Pr  0.302  0.890  0.987